The following is a PBE calculation of a geometry-optimized Ac4Nd3Y2 structure, from Alexandria via LeMat-Bulk.

Cell and atoms, written as CIF:
```
data_Ac4Nd3Y2
_space_group_name_H-M_alt 'C 1 2/m 1'
_space_group_IT_number 12
_space_group_name_Hall '-C 2y'
_cell_length_a 11.808
_cell_length_b 5.429
_cell_length_c 11.366
_cell_angle_alpha 90.00
_cell_angle_beta 106.99
_cell_angle_gamma 90.00
loop_
_atom_site_label
_atom_site_fract_x
_atom_site_fract_y
_atom_site_fract_z
Ac1 0.003 0.000 0.332
Ac2 0.166 0.500 0.889
Nd1 0.000 0.000 0.000
Nd2 0.166 0.500 0.553
Y1 0.171 0.500 0.227
```

***

The following is a PBE calculation of a geometry-optimized Ac5Nd6Y structure, from Alexandria via LeMat-Bulk.

Cell and atoms, written as CIF:
```
data_Ac5Nd6Y
_space_group_name_H-M_alt 'I m m m'
_space_group_IT_number 71
_space_group_name_Hall '-I 2 2'
_cell_length_a 5.432
_cell_length_b 10.599
_cell_length_c 16.215
_cell_angle_alpha 90.00
_cell_angle_beta 90.00
_cell_angle_gamma 90.00
loop_
_atom_site_label
_atom_site_fract_x
_atom_site_fract_y
_atom_site_fract_z
Ac1 0.000 0.000 0.000
Ac2 0.000 0.000 0.337
Ac3 0.000 0.500 0.333
Nd1 0.000 0.248 0.500
Nd2 0.000 0.252 0.165
Y1 0.000 0.500 0.000
```

***

Computed uncorrected energy, in the same sequence as the records: -86.62; -110.40 eV for the cell shown.